1.
Tb2DyTmIn2 (PBE, relaxed); space group = Pmc2_1 (26); total magnetization = 0.0 μB/f.u.; ΔE_f = -0.3562 eV/atom
1.0
5.172 0.000 0.000
0.000 9.805 0.000
0.000 0.000 6.721
Tb Dy Tm In
4 2 2 4
Direct
0.000 0.039 0.000
0.000 0.961 0.500
0.500 0.182 0.281
0.500 0.818 0.781
0.500 0.462 0.927
0.500 0.538 0.427
0.000 0.318 0.647
0.000 0.682 0.147
0.000 0.362 0.176
0.000 0.638 0.676
0.500 0.145 0.754
0.500 0.855 0.254

---

2.
Li2CoAsI (PBE, relaxed); space group = P4/mmm (123); total magnetization = 1.9 μB/f.u.; formation energy without anion corrections = 3.65 eV per formula unit
1.0
4.894 0.000 0.000
0.000 4.894 0.000
0.000 0.000 5.695
Li Co As I
2 1 1 1
Direct
0.000 0.500 0.000
0.500 0.000 0.000
0.000 0.000 0.500
0.500 0.500 0.500
0.500 0.500 0.000

---

3.
TlZnP (PBE, relaxed); space group = F-43m (216); total magnetization = 0.0 μB/f.u.; ΔE_f = 0.5537 eV/atom
1.0
0.000 3.309 3.309
3.309 0.000 3.309
3.309 3.309 0.000
Tl Zn P
1 1 1
Direct
0.000 0.000 0.000
0.750 0.750 0.750
0.250 0.250 0.250